--- 1 ---
Material: BaMnTc2
Method: DFT, PBE-GGA
State: relaxed

a b c (Å): 4.713 4.713 4.713
angles (deg): 60.00 60.00 60.00
Positions (direct):
Ba1 0.000 0.000 0.000
Mn1 0.500 0.500 0.500
Tc1 0.250 0.250 0.250
Tc2 0.750 0.750 0.750

Results
ρ: 8.71 g/cm³

--- 2 ---
Material: BaMnTc2
Method: DFT, PBE-GGA
State: relaxed

a b c (Å): 8.649 8.649 8.649
angles (deg): 146.22 146.22 48.51
Positions (direct):
Ba1 0.375 0.625 0.750
Ba2 0.625 0.375 0.250
Mn1 0.125 0.875 0.250
Mn2 0.875 0.125 0.750
Tc1 0.000 0.000 0.000
Tc2 0.000 0.000 0.500
Tc3 0.000 0.500 0.000
Tc4 0.500 0.000 0.500

Results
ρ: 6.48 g/cm³

--- 3 ---
Material: BaMnTc2
Method: DFT, PBE-GGA
State: relaxed

a b c (Å): 5.576 5.576 3.007
angles (deg): 102.32 102.32 118.02
Positions (direct):
Ba1 0.000 0.000 0.000
Mn1 0.500 0.500 0.000
Tc1 0.000 0.500 0.500
Tc2 0.500 0.000 0.500

Results
ρ: 8.58 g/cm³

From most stable to least stable, the computed energies give 2, 1, 3.